1.
DFT (PBE) results for an optimized crystal structure of Tb2CdSe.

extended XYZ file:
```
4
Lattice="3.833 0.000 0.000 1.917 3.320 0.000 1.917 1.107 8.473" Properties=species:S:1:pos:R:3 pbc="T T T"
Tb 1.917 1.107 6.171
Se 3.833 2.213 4.251
Cd 5.750 3.320 8.458
Tb 1.917 1.107 2.303
```

Computed properties:
The polymorph energy (0 for the lowest one) is 114 meV per atom. Its symmetry is R3m (160). The density of states at the Fermi level comes out at 0.9768 states/eV per atom. The value obtained for the energy relative to the elements, uncorrected is -0.90 eV/atom. The magnetic moment comes out at 0.00 μB/atom. The value obtained for the total energy is -17.28 eV for the cell shown.



2.
DFT (PBE) results for an optimized crystal structure of MoBr3.

extended XYZ file:
```
8
Lattice="2.914 0.877 6.626 -4.627 4.980 -2.637 -4.615 -3.002 2.427" Properties=species:S:1:pos:R:3 pbc="T T T"
Br -3.958 -0.551 2.979
Br -2.369 3.407 3.438
Mo -2.307 -1.501 1.214
Br -2.497 0.695 -0.159
Br -6.744 1.283 -0.051
Br -0.308 -0.496 2.531
Br -1.393 -1.629 6.522
Mo 0.000 0.000 0.000
```

Computed properties:
Its symmetry is P6_3/mcm (193). The density of states at the Fermi level comes out at 0.1224 states/eV per atom. The value obtained for the energy relative to the elements, uncorrected is -0.54 eV/atom. The magnetic moment comes out at 0.51 μB/atom. The value obtained for the total energy is -36.03 eV for the cell shown.